Entry from Alexandria: a relaxed TaBi3Pb crystal (PBE).

Cell lengths 5.7341, 5.7341, 5.7341 Å; angles 90.00, 90.00, 90.00 degrees
Space group Pm-3m (No. 221)
One atom of each set of equivalent atoms:
Ta: 0.0000 0.0000 0.0000 (multiplicity 1)
Bi: 0.0000 0.5000 0.5000 (multiplicity 3)
Pb: 0.5000 0.5000 0.5000 (multiplicity 1)

## Properties
The value obtained for the calculated volume is 37.71 Å³/atom. The energy relative to the elements comes out at 1810 meV/atom. The total energy comes out at -3.63 eV/atom.

Entry from Alexandria: a relaxed Ta2BiPb2 crystal (PBE).

Cell lengths 7.7491, 7.7491, 4.0095 Å; angles 90.00, 90.00, 90.00 degrees
Space group P4/mbm (No. 127)
One atom of each set of equivalent atoms:
Ta: 0.1269 0.3731 0.0000 (multiplicity 4)
Bi: 0.0000 0.0000 0.0000 (multiplicity 2)
Pb: 0.1643 0.6643 0.5000 (multiplicity 4)

## Properties
The value obtained for the calculated volume is 24.08 Å³/atom. The energy relative to the elements comes out at 589 meV/atom. The total energy comes out at -6.41 eV/atom.

Entry from Alexandria: a relaxed TaBi3Pb crystal (PBE).

Cell lengths 5.5480, 5.5480, 5.5480 Å; angles 90.00, 90.00, 90.00 degrees
Space group Pm-3m (No. 221)
One atom of each set of equivalent atoms:
Ta: 0.0000 0.0000 0.0000 (multiplicity 1)
Bi: 0.0000 0.0000 0.5000 (multiplicity 3)
Pb: 0.5000 0.5000 0.5000 (multiplicity 1)

## Properties
The value obtained for the calculated volume is 34.15 Å³/atom. The energy relative to the elements comes out at 524 meV/atom. The total energy comes out at -4.92 eV/atom.

Entry from Alexandria: a relaxed Ta2BiPb2 crystal (PBE).

Cell lengths 8.9415, 8.9415, 3.1186 Å; angles 90.00, 90.00, 90.00 degrees
Space group P4/mbm (No. 127)
One atom of each set of equivalent atoms:
Ta: 0.1074 0.3926 0.0000 (multiplicity 4)
Bi: 0.0000 0.0000 0.5000 (multiplicity 2)
Pb: 0.1802 0.6802 0.5000 (multiplicity 4)

## Properties
The value obtained for the calculated volume is 24.93 Å³/atom. The energy relative to the elements comes out at 712 meV/atom. The total energy comes out at -6.29 eV/atom.